VASP calculation (GGA-PBE) on a geometry-optimized NaMg6Pb2 structure.

* E: -2.0419 eV/atom
* space-group type: No. 123
* DOS(E_F): 3.96 states/eV/f.u.

abc: 4.7605 4.7605 10.7224
angles: 90.00 90.00 90.00
Atoms (fractional coordinates):
Mg  0.0000  0.0000  0.5000
Mg  0.0000  0.5000  0.3078
Mg  0.5000  0.5000  0.5000
Na  0.0000  0.0000  0.0000
Mg  0.5000  0.0000  0.3078
Mg  0.5000  0.0000  0.6922
Pb  0.5000  0.5000  0.1412
Pb  0.5000  0.5000  0.8588
Mg  0.0000  0.5000  0.6922



VASP calculation (GGA-PBE) on a geometry-optimized CsKTi2 structure.

* E: -2.7568 eV/atom
* space-group type: No. 225
* DOS(E_F): 13.44 states/eV/f.u.

abc: 6.1085 6.1085 6.1085
angles: 60.00 60.00 60.00
Last column: magnetic moment on the atom in μB.
Atoms (fractional coordinates):
Ti  0.7500  0.7500  0.7500  2.00
K  0.0000  0.0000  0.0000  0.04
Cs  0.5000  0.5000  0.5000  0.07
Ti  0.2500  0.2500  0.2500  2.00



VASP calculation (GGA-PBE) on a geometry-optimized LaTb7Er3 structure.

* E: -4.5026 eV/atom
* distance to the lowest polymorph of the same formula: 0.000 eV/atom
* space-group type: No. 10
* DOS(E_F): 16.02 states/eV/f.u.

abc: 8.9228 9.8629 5.5731
angles: 89.99 128.64 104.89
Atoms (fractional coordinates):
Tb  0.5000  0.0000  0.5000
La  0.5000  0.5000  0.5000
Tb  0.9264  0.8324  0.9266
Er  0.0000  0.5000  0.0000
Tb  0.0736  0.1676  0.0734
Tb  0.1702  0.3566  0.6702
Er  0.2241  0.0039  0.7242
Tb  0.8298  0.6434  0.3298
Tb  0.3546  0.7104  0.8543
Tb  0.6454  0.2896  0.1457
Er  0.7759  0.9961  0.2758



VASP calculation (GGA-PBE) on a geometry-optimized Bi2WCl2 structure.

* E: -4.1302 eV/atom
* distance to the lowest polymorph of the same formula: 0.194 eV/atom
* space-group type: No. 127
* DOS(E_F): 3.19 states/eV/f.u.

abc: 9.0055 9.0055 3.1615
angles: 90.00 90.00 90.00
Last column: magnetic moment on the atom in μB.
Atoms (fractional coordinates):
Bi  0.7944  0.7056  0.0000  -0.06
Bi  0.2944  0.7944  0.0000  -0.04
Cl  0.8862  0.3862  0.5000  0.02
W  0.0000  0.0000  0.0000  1.94
Cl  0.1138  0.6138  0.5000  0.02
Cl  0.6138  0.8862  0.5000  0.02
W  0.5000  0.5000  0.0000  1.93
Bi  0.2056  0.2944  0.0000  -0.06
Cl  0.3862  0.1138  0.5000  0.02
Bi  0.7056  0.2056  0.0000  -0.04



VASP calculation (GGA-PBE) on a geometry-optimized ScZn structure.

* E: -2.9242 eV/atom
* space-group type: No. 223
* DOS(E_F): 3.46 states/eV/f.u.

abc: 7.5581 7.5581 7.5581
angles: 90.00 90.00 90.00
Last column: magnetic moment on the atom in μB.
Atoms (fractional coordinates):
Zn  0.5000  0.2500  0.0000  0.08
Sc  0.7500  0.5000  0.0000  0.35
Zn  0.0000  0.5000  0.7500  0.08
Sc  0.0000  0.7500  0.5000  0.35
Sc  0.5000  0.0000  0.7500  0.35
Zn  0.2500  0.0000  0.5000  0.08
Zn  0.7500  0.0000  0.5000  0.08
Zn  0.0000  0.5000  0.2500  0.08
Sc  0.2500  0.5000  0.0000  0.35
Sc  0.0000  0.2500  0.5000  0.35
Sc  0.5000  0.0000  0.2500  0.35
Zn  0.5000  0.7500  0.0000  0.08



VASP calculation (GGA-PBE) on a geometry-optimized NdHo3Al8 structure.

* E: -4.5338 eV/atom
* distance to the lowest polymorph of the same formula: 0.009 eV/atom
* space-group type: No. 156
* DOS(E_F): 5.61 states/eV/f.u.

abc: 5.5709 5.5709 9.1568
angles: 90.00 90.00 120.00
Atoms (fractional coordinates):
Al  0.1622  0.8378  0.2474
Ho  0.6667  0.3333  0.0666
Al  0.3333  0.6667  0.0016
Nd  0.0000  0.0000  0.5679
Al  0.5045  0.0090  0.7536
Al  0.3333  0.6667  0.4984
Al  0.6756  0.8378  0.2474
Ho  0.0000  0.0000  0.9323
Ho  0.6667  0.3333  0.4305
Al  0.1622  0.3244  0.2474
Al  0.9910  0.4955  0.7536
Al  0.5045  0.4955  0.7536



VASP calculation (GGA-PBE) on a geometry-optimized LaNd4Pd4 structure.

* E: -5.5818 eV/atom
* space-group type: No. 86
* DOS(E_F): 8.01 states/eV/f.u.

abc: 6.0273 9.2091 9.2091
angles: 90.00 90.00 90.00
Atoms (fractional coordinates):
Pd  0.5947  0.2176  0.6229
La  0.5000  0.5000  0.5000
Nd  0.4120  0.3164  0.9099
Nd  0.5880  0.9099  0.6836
Pd  0.0947  0.1229  0.2824
Pd  0.0947  0.8771  0.7176
Nd  0.5880  0.0901  0.3164
Pd  0.4053  0.3771  0.2176
Nd  0.0880  0.8164  0.4099
Pd  0.5947  0.7824  0.3771
La  0.0000  0.0000  0.0000
Pd  0.9053  0.2824  0.8771
Nd  0.4120  0.6836  0.0901
Pd  0.4053  0.6229  0.7824
Pd  0.9053  0.7176  0.1229
Nd  0.0880  0.1836  0.5901
Nd  0.9120  0.5901  0.8164
Nd  0.9120  0.4099  0.1836



VASP calculation (GGA-PBE) on a geometry-optimized LiUHgBi structure.

* E: -4.3408 eV/atom
* space-group type: No. 216
* DOS(E_F): 7.08 states/eV/f.u.

abc: 5.2334 5.2334 5.2334
angles: 60.00 60.00 60.00
Last column: magnetic moment on the atom in μB.
Atoms (fractional coordinates):
U  0.2500  0.2500  0.2500  2.82
Bi  0.0000  0.0000  0.0000  -0.01
Hg  0.5000  0.5000  0.5000  0.06
Li  0.7500  0.7500  0.7500  0.02



VASP calculation (GGA-PBE) on a geometry-optimized LiPm3Ga8 structure.

* E: -3.8462 eV/atom
* space-group type: No. 160
* DOS(E_F): 5.38 states/eV/f.u.

abc: 5.5561 5.5561 9.6442
angles: 73.26 73.26 60.00
Atoms (fractional coordinates):
Pm  0.5041  0.5041  0.4877
Pm  0.3750  0.3750  0.8749
Pm  0.9933  0.9933  0.0200
Li  0.8719  0.8719  0.3844
Ga  0.9384  0.4381  0.6851
Ga  0.9384  0.9384  0.6851
Ga  0.4375  0.9395  0.1854
Ga  0.4375  0.4375  0.1854
Ga  0.1881  0.1881  0.4358
Ga  0.4381  0.9384  0.6851
Ga  0.6880  0.6880  0.9359
Ga  0.9395  0.4375  0.1854



VASP calculation (GGA-PBE) on a geometry-optimized Mg2AlZn structure.

* E: -2.0670 eV/atom
* space-group type: No. 123
* DOS(E_F): 1.50 states/eV/f.u.

abc: 3.2884 3.2884 6.9339
angles: 90.00 90.00 90.00
Atoms (fractional coordinates):
Zn  0.5000  0.5000  0.0000
Al  0.5000  0.5000  0.5000
Mg  0.0000  0.0000  0.2415
Mg  0.0000  0.0000  0.7585



VASP calculation (GGA-PBE) on a geometry-optimized Ce2Dy15Er2 structure.

* E: -4.4327 eV/atom
* space-group type: No. 166
* DOS(E_F): 36.26 states/eV/f.u.

abc: 8.6957 8.6957 8.6957
angles: 79.24 79.24 79.24
Last column: magnetic moment on the atom in μB.
Atoms (fractional coordinates):
Dy  0.1474  0.6333  0.6333  0.00
Dy  0.6333  0.6333  0.1474  0.00
Dy  0.5000  0.0000  0.0000  0.01
Dy  0.3667  0.3667  0.8526  0.00
Dy  0.3038  0.6962  0.0000  0.01
Ce  0.0750  0.0750  0.0750  0.28
Dy  0.8526  0.3667  0.3667  0.00
Dy  0.6333  0.1474  0.6333  0.00
Er  0.6816  0.6816  0.6816  0.00
Dy  0.0000  0.6962  0.3038  0.01
Dy  0.0000  0.0000  0.5000  0.01
Dy  0.0000  0.3038  0.6962  0.01
Dy  0.0000  0.5000  0.0000  0.01
Er  0.3184  0.3184  0.3184  0.00
Dy  0.3038  0.0000  0.6962  0.01
Dy  0.6962  0.0000  0.3038  0.01
Dy  0.3667  0.8526  0.3667  0.00
Ce  0.9250  0.9250  0.9250  0.28
Dy  0.6962  0.3038  0.0000  0.01



VASP calculation (GGA-PBE) on a geometry-optimized La3Tb2Pm6Dy structure.

* E: -4.7428 eV/atom
* space-group type: No. 12
* DOS(E_F): 20.07 states/eV/f.u.

abc: 6.3313 6.3313 12.1154
angles: 95.02 95.02 120.04
Atoms (fractional coordinates):
Tb  0.6667  0.3333  0.0000
Pm  0.2519  0.2519  0.7556
La  0.8332  0.1668  0.5000
Pm  0.9186  0.5855  0.7557
La  0.1668  0.8332  0.5000
Dy  0.0000  0.0000  0.0000
Pm  0.4145  0.0814  0.2443
Pm  0.7481  0.7481  0.2444
Pm  0.5855  0.9186  0.7557
La  0.5000  0.5000  0.5000
Pm  0.0814  0.4145  0.2443
Tb  0.3333  0.6667  0.0000



VASP calculation (GGA-PBE) on a geometry-optimized KTmMgI6 structure.

* E: -3.1101 eV/atom
* space-group type: No. 163
* DOS(E_F): 0.00 states/eV/f.u.

abc: 7.6862 7.6862 15.7605
angles: 90.00 90.00 120.00
Atoms (fractional coordinates):
I  0.6288  0.9947  0.3591
I  0.0053  0.6341  0.3591
Mg  0.6667  0.3333  0.7500
I  0.0053  0.3712  0.1409
I  0.3712  0.3659  0.8591
K  0.0000  0.0000  0.5000
Tm  0.6667  0.3333  0.2500
I  0.9947  0.3659  0.6409
I  0.6341  0.6288  0.6409
K  0.0000  0.0000  0.0000
I  0.9947  0.6288  0.8591
I  0.6341  0.0053  0.8591
I  0.3712  0.0053  0.6409
I  0.3659  0.9947  0.1409
I  0.3659  0.3712  0.3591
Tm  0.3333  0.6667  0.7500
Mg  0.3333  0.6667  0.2500
I  0.6288  0.6341  0.1409



VASP calculation (GGA-PBE) on a geometry-optimized CdCuIr3 structure.

* E: -4.9118 eV/atom
* distance to the lowest polymorph of the same formula: 0.000 eV/atom
* space-group type: No. 221
* DOS(E_F): 6.39 states/eV/f.u.

abc: 4.5173 4.5173 4.5173
angles: 90.00 90.00 90.00
Atoms (fractional coordinates):
Cu  0.0000  0.0000  0.0000
Ir  0.5000  0.0000  0.0000
Cd  0.5000  0.5000  0.5000
Ir  0.0000  0.0000  0.5000
Ir  0.0000  0.5000  0.0000



VASP calculation (GGA-PBE) on a geometry-optimized K2Ba2Li structure.

* E: -1.3867 eV/atom
* distance to the lowest polymorph of the same formula: 0.000 eV/atom
* space-group type: No. 127
* DOS(E_F): 6.27 states/eV/f.u.

abc: 9.0697 9.0697 7.1498
angles: 90.00 90.00 90.00
Atoms (fractional coordinates):
K  0.1446  0.3554  0.0000
Ba  0.6815  0.8185  0.5000
K  0.3554  0.8554  0.0000
K  0.8554  0.6446  0.0000
Li  0.5000  0.5000  0.0000
K  0.6446  0.1446  0.0000
Ba  0.3185  0.1815  0.5000
Ba  0.8185  0.3185  0.5000
Li  0.0000  0.0000  0.0000
Ba  0.1815  0.6815  0.5000



VASP calculation (GGA-PBE) on a geometry-optimized MoP2Au structure.

* E: -5.8078 eV/atom
* distance to the lowest polymorph of the same formula: 0.457 eV/atom
* space-group type: No. 225
* DOS(E_F): 5.02 states/eV/f.u.

abc: 4.4346 4.4346 4.4346
angles: 60.00 60.00 60.00
Last column: magnetic moment on the atom in μB.
Atoms (fractional coordinates):
Mo  0.0000  0.0000  0.0000  0.94
Au  0.5000  0.5000  0.5000  0.14
P  0.2500  0.2500  0.2500  0.03
P  0.7500  0.7500  0.7500  0.03



Number 1: total magnetic moment 0.00 μB/f.u., calculated volume 27.0 Å³ per atom. Number 2: total magnetic moment 6.09 μB/f.u., calculated volume 40.3 Å³ per atom. Number 3: total magnetic moment 0.00 μB/f.u., calculated volume 32.9 Å³ per atom. Number 4: total magnetic moment 2.55 μB/f.u., calculated volume 25.6 Å³ per atom. Number 5: total magnetic moment 0.78 μB/f.u., calculated volume 36.0 Å³ per atom. Number 6: total magnetic moment 0.00 μB/f.u., calculated volume 20.5 Å³ per atom. Number 7: total magnetic moment 0.00 μB/f.u., calculated volume 28.4 Å³ per atom. Number 8: total magnetic moment 3.34 μB/f.u., calculated volume 25.3 Å³ per atom. Number 9: total magnetic moment 0.00 μB/f.u., calculated volume 20.3 Å³ per atom. Number 10: total magnetic moment 0.00 μB/f.u., calculated volume 18.7 Å³ per atom. Number 11: total magnetic moment 0.75 μB/f.u., calculated volume 33.0 Å³ per atom. Number 12: total magnetic moment 0.00 μB/f.u., calculated volume 34.5 Å³ per atom. Number 13: total magnetic moment 0.00 μB/f.u., calculated volume 44.8 Å³ per atom. Number 14: total magnetic moment 0.00 μB/f.u., calculated volume 18.4 Å³ per atom. Number 15: total magnetic moment 0.00 μB/f.u., calculated volume 58.8 Å³ per atom. Number 16: total magnetic moment 1.34 μB/f.u., calculated volume 15.4 Å³ per atom.